Computed, not measured: MnCoAu2 after structural relaxation at the PBE level of DFT. Values from VASP.

Output
Symmetry ... Pmm2 (25)
Crystal system ... orthorhombic
Energy of formation ... 0.12 eV/atom
Density ... 13.66 g cm⁻³

Structure (Quantum ESPRESSO input):
```
&SYSTEM
  ibrav = 0, nat = 4, ntyp = 3
/
ATOMIC_SPECIES
Au 196.97 Au.upf
Co 58.93 Co.upf
Mn 54.94 Mn.upf
CELL_PARAMETERS angstrom
-1.703 -2.146 3.554
-0.858 -2.165 -1.719
4.163 -2.189 0.673
ATOMIC_POSITIONS crystal
Au 0.000 0.124 0.945
Au 0.500 0.126 0.311
Co 0.000 0.625 0.453
Mn 0.500 0.625 0.791
```


Computed, not measured: Sm5Dy4Tm after structural relaxation at the PBE level of DFT. Values from VASP.

Output
Symmetry ... P-1 (2)
Crystal system ... triclinic
Energy of formation ... 0.02 eV/atom
Energy relative to the lowest polymorph listed for this composition ... 0.000 eV/atom
Density ... 8.05 g cm⁻³

Structure (Quantum ESPRESSO input):
```
&SYSTEM
  ibrav = 0, nat = 10, ntyp = 3
/
ATOMIC_SPECIES
Sm 150.36 Sm.upf
Dy 162.50 Dy.upf
Tm 168.93 Tm.upf
CELL_PARAMETERS angstrom
-2.580 2.475 -0.018
-1.033 -1.137 -10.019
-4.577 -7.321 3.863
ATOMIC_POSITIONS crystal
Sm 0.700 0.600 0.400
Sm 0.100 0.803 0.199
Sm 0.900 0.197 0.801
Sm 0.500 0.500 0.000
Sm 0.300 0.400 0.600
Dy 0.700 0.100 0.399
Dy 0.100 0.297 0.200
Dy 0.300 0.900 0.601
Dy 0.900 0.703 0.800
Tm 0.500 0.000 0.000
```


Computed, not measured: NaSmDyHg after structural relaxation at the PBE level of DFT. Values from VASP.

Output
Symmetry ... F-43m (216)
Crystal system ... cubic
Energy of formation ... -0.05 eV/atom
Density ... 8.03 g cm⁻³

Structure (Quantum ESPRESSO input):
```
&SYSTEM
  ibrav = 0, nat = 4, ntyp = 4
/
ATOMIC_SPECIES
Na 22.99 Na.upf
Hg 200.59 Hg.upf
Sm 150.36 Sm.upf
Dy 162.50 Dy.upf
CELL_PARAMETERS angstrom
5.394 0.000 0.000
2.697 4.671 0.000
2.697 1.557 4.404
ATOMIC_POSITIONS crystal
Na 0.750 0.750 0.750
Hg 0.250 0.250 0.250
Sm 0.000 0.000 0.000
Dy 0.500 0.500 0.500
```


Computed, not measured: Tl2InAu7 after structural relaxation at the PBE level of DFT. Values from VASP.

Output
Symmetry ... P-4m2 (115)
Crystal system ... tetragonal
Energy of formation ... -0.03 eV/atom
Density ... 14.10 g cm⁻³

Structure (Quantum ESPRESSO input):
```
&SYSTEM
  ibrav = 0, nat = 10, ntyp = 3
/
ATOMIC_SPECIES
Tl 204.38 Tl.upf
In 114.82 In.upf
Au 196.97 Au.upf
CELL_PARAMETERS angstrom
4.031 0.000 0.000
0.000 4.031 0.000
0.000 0.000 13.789
ATOMIC_POSITIONS crystal
Tl 0.500 0.000 0.743
Tl 0.000 0.500 0.257
In 0.500 0.500 0.000
Au 0.000 0.500 0.848
Au 0.500 0.000 0.351
Au 0.500 0.000 0.152
Au 0.000 0.500 0.649
Au 0.000 0.000 0.500
Au 0.000 0.000 0.000
Au 0.500 0.500 0.500
```


Computed, not measured: HfZn3O3 after structural relaxation at the PBE level of DFT. Values from VASP.

Output
ΔE_f (raw) ... -0.423 eV per atom
Symmetry ... Pm-3n (223)
Crystal system ... cubic
Density ... 7.12 g cm⁻³

Structure (Quantum ESPRESSO input):
```
&SYSTEM
  ibrav = 0, nat = 14, ntyp = 3
/
ATOMIC_SPECIES
Hf 178.49 Hf.upf
Zn 65.41 Zn.upf
O 16.00 O.upf
CELL_PARAMETERS angstrom
-5.373 -2.160 -0.582
0.498 -2.630 5.168
-2.181 4.721 2.613
ATOMIC_POSITIONS crystal
Hf 0.000 0.000 0.000
Hf 0.500 0.500 0.500
Zn 0.250 0.000 0.500
Zn 0.750 0.000 0.500
Zn 0.000 0.500 0.250
Zn 0.000 0.500 0.750
Zn 0.500 0.250 0.000
Zn 0.500 0.750 0.000
O 0.250 0.500 0.000
O 0.750 0.500 0.000
O 0.500 0.000 0.250
O 0.500 0.000 0.750
O 0.000 0.250 0.500
O 0.000 0.750 0.500
```


Computed, not measured: TlCdRu2 after structural relaxation at the PBE level of DFT. Values from VASP.

Output
Symmetry ... F-43m (216)
Crystal system ... cubic
Energy of formation ... 0.66 eV/atom
Density ... 12.11 g cm⁻³

Structure (Quantum ESPRESSO input):
```
&SYSTEM
  ibrav = 0, nat = 4, ntyp = 3
/
ATOMIC_SPECIES
Cd 112.41 Cd.upf
Ru 101.07 Ru.upf
Tl 204.38 Tl.upf
CELL_PARAMETERS angstrom
-1.438 4.423 -0.051
-4.476 0.981 -0.799
-2.678 1.615 3.443
ATOMIC_POSITIONS crystal
Cd 0.500 0.500 0.500
Ru 0.000 0.000 0.000
Ru 0.250 0.250 0.250
Tl 0.750 0.750 0.750
```


Computed, not measured: Ho4Bi2TeP after structural relaxation at the PBE level of DFT. Values from VASP.

Output
ΔE_f (raw) ... -1.122 eV per atom
Symmetry ... P2/m (10)
Crystal system ... monoclinic
Density ... 9.06 g cm⁻³

Structure (Quantum ESPRESSO input):
```
&SYSTEM
  ibrav = 0, nat = 8, ntyp = 4
/
ATOMIC_SPECIES
Ho 164.93 Ho.upf
Bi 208.98 Bi.upf
Te 127.60 Te.upf
P 30.97 P.upf
CELL_PARAMETERS angstrom
-2.332 -1.925 3.037
5.520 -4.921 1.121
1.010 5.884 4.505
ATOMIC_POSITIONS crystal
Ho 0.500 0.226 0.227
Ho 0.500 0.774 0.773
Ho 0.000 0.235 0.763
Ho 0.000 0.765 0.237
Bi 0.500 0.000 0.500
Bi 0.000 0.500 0.500
Te 0.500 0.500 0.000
P 0.000 0.000 0.000
```


Computed, not measured: Re2WCl after structural relaxation at the PBE level of DFT. Values from VASP.

Output
ΔE_f (raw) ... 1.536 eV per atom
Symmetry ... I-42d (122)
Crystal system ... tetragonal
Energy relative to the lowest polymorph listed for this composition ... 1.083 eV/atom
Density ... 11.76 g cm⁻³

Structure (Quantum ESPRESSO input):
```
&SYSTEM
  ibrav = 0, nat = 8, ntyp = 3
/
ATOMIC_SPECIES
Re 186.21 Re.upf
W 183.84 W.upf
Cl 35.45 Cl.upf
CELL_PARAMETERS angstrom
5.588 0.000 0.000
0.000 5.588 0.000
2.794 2.794 5.349
ATOMIC_POSITIONS crystal
Re 0.597 0.125 0.250
Re 0.153 0.625 0.250
Re 0.375 0.403 0.750
Re 0.875 0.847 0.750
W 0.000 0.000 0.000
W 0.750 0.250 0.500
Cl 0.500 0.500 0.000
Cl 0.250 0.750 0.500
```